(1)
Density functional theory data (PBE-GGA) for crystalline Tl2Ag at its relaxed geometry.

abc: 13.879 13.879 13.879
angles: 165.80 165.80 20.13
Atoms (fractional coordinates):
Tl1 0.303 0.553 0.750
Tl2 0.447 0.697 0.750
Tl3 0.553 0.303 0.250
Tl4 0.697 0.447 0.250
Ag1 0.125 0.875 0.250
Ag2 0.875 0.125 0.750

Computed properties:
The total moment comes out at 0.00 μB/cell. The value obtained for the formation energy is 0.33 eV/f.u.

=====

(2)
Density functional theory data (PBE-GGA) for crystalline Tl6Ag at its relaxed geometry.

abc: 8.690 8.690 3.451
angles: 90.00 90.00 120.00
Atoms (fractional coordinates):
Tl1 0.000 0.337 0.264
Tl2 0.000 0.663 0.736
Tl3 0.337 0.000 0.264
Tl4 0.337 0.337 0.736
Tl5 0.663 0.000 0.736
Tl6 0.663 0.663 0.264
Ag1 0.000 0.000 0.000

Computed properties:
The total moment comes out at 0.00 μB/cell. The value obtained for the formation energy is 0.98 eV/f.u. As for the distance to the lowest polymorph of the same formula: 0.0000 eV/atom.

=====

(3)
Density functional theory data (PBE-GGA) for crystalline Tl2Ag at its relaxed geometry.

abc: 5.221 5.221 6.647
angles: 90.00 90.00 120.00
Atoms (fractional coordinates):
Tl1 0.000 0.000 0.000
Tl2 0.000 0.000 0.500
Tl3 0.333 0.667 0.250
Tl4 0.667 0.333 0.750
Ag1 0.333 0.667 0.750
Ag2 0.667 0.333 0.250

Computed properties:
The total moment comes out at 0.00 μB/cell. The value obtained for the formation energy is 0.33 eV/f.u.